Entry 1:
This record from the Alexandria database describes an optimized crystal structure of BeH3Br. The functional is GGA-PBE.

Summary:
Symmetry: Pm-3m, No. 221
Offset from the most stable computed form in meV per atom: 0

a b c (Å): 3.5334 3.5334 3.5334
angles (deg): 90.00 90.00 90.00
Last column: nearest neighbours and their distance in Å.
Element x y z (fractional)
H 0.0000 0.5000 0.0000  2 Be 1.77
H 0.5000 0.0000 0.0000  2 Be 1.77
Br 0.5000 0.5000 0.5000  12 H 2.50
H 0.0000 0.0000 0.5000  2 Be 1.77
Be 0.0000 0.0000 0.0000  6 H 1.77


Entry 2:
This record from the Alexandria database describes an optimized crystal structure of Sr3TaO. The functional is GGA-PBE.

Summary:
Symmetry: Pm-3m, No. 221
Offset from the most stable computed form in meV per atom: 0
Uncorrected formation energy in eV/atom: -0.331

a b c (Å): 5.2153 5.2153 5.2153
angles (deg): 90.00 90.00 90.00
Last column: nearest neighbours and their distance in Å.
Element x y z (fractional)
Sr 0.0000 0.5000 0.0000  2 O 2.61
Ta 0.5000 0.5000 0.5000  12 Sr 3.69
Sr 0.5000 0.0000 0.0000  2 O 2.61
O 0.0000 0.0000 0.0000  6 Sr 2.61
Sr 0.0000 0.0000 0.5000  2 O 2.61


Entry 3:
This record from the Alexandria database describes an optimized crystal structure of TaTi2Au2. The functional is GGA-PBE.

Summary:
Symmetry: P4/mbm, No. 127
Offset from the most stable computed form in meV per atom: 127
ΔH_f (0 K) in eV/atom: -0.097

a b c (Å): 7.5752 7.5752 3.0956
angles (deg): 90.00 90.00 90.00
Last column: nearest neighbours and their distance in Å.
Element x y z (fractional)
Ta 0.5000 0.5000 0.0000  4 Au 2.98, 2 Ta 3.10, 8 Ti 3.20
Ti 0.1730 0.6730 0.5000  6 Au 2.63-2.78
Au 0.6282 0.1282 0.0000  6 Ti 2.63-2.78, 1 Au 2.75
Au 0.3718 0.8718 0.0000  6 Ti 2.63-2.78, 1 Au 2.75
Ti 0.3270 0.1730 0.5000  6 Au 2.63-2.78
Ti 0.6730 0.8270 0.5000  6 Au 2.63-2.78
Au 0.8718 0.6282 0.0000  6 Ti 2.63-2.78, 1 Au 2.75
Au 0.1282 0.3718 0.0000  6 Ti 2.63-2.78, 1 Au 2.75
Ta 0.0000 0.0000 0.0000  4 Au 2.98, 2 Ta 3.10, 8 Ti 3.20
Ti 0.8270 0.3270 0.5000  6 Au 2.63-2.78


Entry 4:
This record from the Alexandria database describes an optimized crystal structure of Pm2Pr2Nd5. The functional is GGA-PBE.

Summary:
Symmetry: C2/m, No. 12
Offset from the most stable computed form in meV per atom: 0
ΔH_f (0 K) in eV/atom: 0.128

a b c (Å): 3.5594 10.0899 12.6194
angles (deg): 133.68 98.11 90.00
Last column: nearest neighbours and their distance in Å.
Element x y z (fractional)
Nd 0.0000 0.0000 0.0000  2 Pm 3.46, 4 Nd 3.56-3.62, 4 Pr 3.63
Nd 0.1764 0.4803 0.3528  7 Nd 3.56-3.85, 3 Pm 3.63-3.68, 2 Pr 3.82
Pr 0.4958 0.6792 0.9916  6 Nd 3.56-3.82, 3 Pr 3.56-3.77, 2 Pm 3.72
Nd 0.3298 0.1983 0.6596  3 Pm 3.54-3.59, 2 Pr 3.56-3.61, 6 Nd 3.56-3.79
Pr 0.5042 0.3208 0.0084  6 Nd 3.56-3.82, 3 Pr 3.56-3.77, 2 Pm 3.72
Pm 0.1631 0.0982 0.3262  7 Nd 3.46-3.68, 2 Pm 3.56, 2 Pr 3.72
Nd 0.8236 0.5197 0.6472  7 Nd 3.56-3.85, 3 Pm 3.63-3.68, 2 Pr 3.82
Nd 0.6702 0.8017 0.3404  3 Pm 3.54-3.59, 2 Pr 3.56-3.61, 6 Nd 3.56-3.79
Pm 0.8369 0.9018 0.6738  7 Nd 3.46-3.68, 2 Pm 3.56, 2 Pr 3.72


Entry 5:
This record from the Alexandria database describes an optimized crystal structure of TbCeGaIr. The functional is GGA-PBE.

Summary:
Symmetry: F-43m, No. 216
Offset from the most stable computed form in meV per atom: 102
ΔH_f (0 K) in eV/atom: -0.573

a b c (Å): 5.0130 5.0130 5.0130
angles (deg): 60.00 60.00 60.00
Last column: nearest neighbours and their distance in Å.
Element x y z (fractional)
Ir 0.7500 0.7500 0.7500  4 Ce 3.07, 4 Tb 3.07
Ce 0.5000 0.5000 0.5000  4 Ir 3.07, 4 Ga 3.07
Tb 0.0000 0.0000 0.0000  4 Ga 3.07, 4 Ir 3.07
Ga 0.2500 0.2500 0.2500  4 Tb 3.07, 4 Ce 3.07


Entry 6:
This record from the Alexandria database describes an optimized crystal structure of LaHoBr6. The functional is GGA-PBE.

Summary:
Symmetry: R-3, No. 148
Offset from the most stable computed form in meV per atom: 13
Uncorrected formation energy in eV/atom: -1.881

a b c (Å): 7.1848 7.1846 7.7841
angles (deg): 62.51 62.51 60.00
Last column: nearest neighbours and their distance in Å.
Element x y z (fractional)
Br 0.9000 0.5834 0.2569  1 Ho 2.80, 1 La 2.96
Br 0.1000 0.4166 0.7431  1 Ho 2.80, 1 La 2.96
Br 0.5835 0.2597 0.2569  1 Ho 2.80, 1 La 2.96
Br 0.2599 0.9000 0.2567  1 Ho 2.80, 1 La 2.96
Br 0.4165 0.7403 0.7431  1 Ho 2.80, 1 La 2.96
La 0.0000 0.0000 0.0000  6 Br 2.96
Ho 0.5000 0.5000 0.5000  6 Br 2.80
Br 0.7401 0.1000 0.7433  1 Ho 2.80, 1 La 2.96


Entry 7:
This record from the Alexandria database describes an optimized crystal structure of Ba2MgTiO. The functional is GGA-PBE.

Summary:
Symmetry: P4/mmm, No. 123
Uncorrected formation energy in eV/atom: 0.779

a b c (Å): 6.4180 5.1554 6.4180
angles (deg): 90.00 90.00 90.00
Last column: nearest neighbours and their distance in Å.
Element x y z (fractional)
O 0.5000 0.5000 0.5000  8 Ba 4.12, 4 Ti 4.54
Ti 0.0000 0.5000 0.0000  2 Mg 2.58
Mg 0.0000 0.0000 0.0000  2 Ti 2.58
Ba 0.5000 0.0000 0.0000  2 Mg 3.21
Ba 0.0000 0.0000 0.5000  2 Mg 3.21


Entry 8:
This record from the Alexandria database describes an optimized crystal structure of Ac2Ge3Pt4Au. The functional is GGA-PBE.

Summary:
Symmetry: P-4m2, No. 115
ΔH_f (0 K) in eV/atom: -0.863

a b c (Å): 4.5055 4.5055 10.4264
angles (deg): 90.00 90.00 90.00
Last column: nearest neighbours and their distance in Å.
Element x y z (fractional)
Pt 0.5000 0.0000 0.6442  3 Ge 2.46-2.71, 2 Au 2.71
Ac 0.0000 0.5000 0.7455  8 Pt 3.36-3.48, 6 Ge 3.41-3.48, 2 Au 3.41
Ac 0.5000 0.0000 0.2545  8 Pt 3.36-3.48, 6 Ge 3.41-3.48, 2 Au 3.41
Ge 0.5000 0.0000 0.8804  5 Pt 2.46-2.57
Pt 0.0000 0.5000 0.3558  3 Ge 2.46-2.71, 2 Au 2.71
Pt 0.0000 0.0000 0.0000  4 Ge 2.57
Pt 0.5000 0.5000 0.0000  4 Ge 2.57
Ge 0.0000 0.5000 0.1196  5 Pt 2.46-2.57
Au 0.5000 0.5000 0.5000  4 Pt 2.71
Ge 0.0000 0.0000 0.5000  4 Pt 2.71


Entry 9:
This record from the Alexandria database describes an optimized crystal structure of Mg2InAu. The functional is GGA-PBE.

Summary:
Symmetry: Cmmm, No. 65
ΔH_f (0 K) in eV/atom: -0.285

a b c (Å): 7.1959 4.9676 3.3449
angles (deg): 90.01 62.29 124.59
Last column: nearest neighbours and their distance in Å.
Element x y z (fractional)
Mg 0.5000 0.0000 0.5000  4 Au 2.99, 4 In 2.99, 4 Mg 3.19-3.34
Mg 0.0000 0.0000 0.0000  4 In 2.99, 4 Au 2.99, 4 Mg 3.19-3.34
Au 0.0000 0.5000 0.5000  8 Mg 2.99, 2 In 3.19, 2 Au 3.34
In 0.5000 0.5000 0.0000  8 Mg 2.99, 2 Au 3.19, 2 In 3.34


Entry 10:
This record from the Alexandria database describes an optimized crystal structure of NiTe2AuN. The functional is GGA-PBE.

Summary:
Symmetry: P4/mmm, No. 123
Offset from the most stable computed form in meV per atom: 798
Uncorrected formation energy in eV/atom: 1.274

a b c (Å): 5.6201 5.6201 3.7224
angles (deg): 90.00 90.00 90.00
Last column: nearest neighbours and their distance in Å.
Element x y z (fractional)
Ni 0.5000 0.5000 0.5000  8 Te 3.37, 2 Ni 3.72
Au 0.0000 0.0000 0.0000  2 N 1.86
Te 0.0000 0.5000 0.0000  2 Au 2.81
Te 0.5000 0.0000 0.0000  2 Au 2.81
N 0.0000 0.0000 0.5000  2 Au 1.86


Entry 11:
This record from the Alexandria database describes an optimized crystal structure of NaPI3. The functional is GGA-PBE.

Summary:
Symmetry: P-1, No. 2
Offset from the most stable computed form in meV per atom: 0
Uncorrected formation energy in eV/atom: -0.358

a b c (Å): 3.6712 11.9518 9.0427
angles (deg): 95.83 89.81 98.99
Last column: nearest neighbours and their distance in Å.
Element x y z (fractional)
Na 0.4047 0.7782 0.1348  6 I 3.18-3.31, 1 Na 3.55
I 0.7945 0.5593 0.0663  2 Na 3.18, 2 P 3.29
P 0.7070 0.3804 0.6443  2 P 2.36, 1 I 2.46
I 0.0050 0.9710 0.9955  4 Na 3.27-3.32
I 0.6159 0.2052 0.7701  1 P 2.46
P 0.2493 0.4658 0.7774  2 P 2.36, 1 I 2.46
Na 0.5510 0.0676 0.2867  6 I 3.18-3.32, 1 Na 3.55
I 0.3405 0.6411 0.6517  1 P 2.46
I 0.9509 0.8747 0.4255  4 Na 3.27-3.31
I 0.1614 0.2864 0.3554  2 Na 3.18, 2 P 3.29


Entry 12:
This record from the Alexandria database describes an optimized crystal structure of Fe8Sb. The functional is GGA-PBE.

Summary:
Symmetry: I4/mmm, No. 139
Uncorrected formation energy in eV/atom: 0.128

a b c (Å): 5.6959 5.6959 5.6959
angles (deg): 97.07 97.07 138.94
Last column: nearest neighbours and their distance in Å.
Element x y z (fractional)
Sb 0.0000 0.0000 0.0000  12 Fe 2.58-2.70
Fe 0.6584 0.0000 0.6584  7 Fe 2.39-2.62, 1 Sb 2.58
Fe 0.3416 0.0000 0.3416  7 Fe 2.39-2.62, 1 Sb 2.58
Fe 0.3295 0.6705 0.0000  10 Fe 2.49-2.70, 2 Sb 2.70
Fe 0.0000 0.3416 0.3416  7 Fe 2.39-2.62, 1 Sb 2.58
Fe 0.0000 0.6584 0.6584  7 Fe 2.39-2.62, 1 Sb 2.58
Fe 0.6705 0.6705 0.3411  10 Fe 2.49-2.70, 2 Sb 2.70
Fe 0.6705 0.3295 0.0000  10 Fe 2.49-2.70, 2 Sb 2.70
Fe 0.3295 0.3295 0.6589  10 Fe 2.49-2.70, 2 Sb 2.70